(1)
# Y4Pb5

A relaxed structure of Y4Pb5 (PBE, the Alexandria database).

CIF file:
```
data_Y4Pb5
_chemical_formula_sum 'Y8 Pb10'
_symmetry_space_group_name_H-M 'P 63/m c m'
_symmetry_Int_Tables_number 193
_symmetry_space_group_name_Hall '-P 6c 2'
_cell_length_a 9.5649
_cell_length_b 9.5649
_cell_length_c 6.5488
_cell_angle_alpha 90.00
_cell_angle_beta 90.00
_cell_angle_gamma 120.00
loop_
_atom_site_label
_atom_site_type_symbol
_atom_site_fract_x
_atom_site_fract_y
_atom_site_fract_z
Y1 Y 0.0000 0.0000 0.0000
Y2 Y 0.0000 0.3811 0.2500
Pb1 Pb 0.0000 0.2884 0.7500
Pb2 Pb 0.3333 0.6667 0.0000
```

## Properties
E_tot: -5.3641 eV/atom
magnetization: 0.0000 μB per atom
DOS(E_F): 0.950 states/eV/atom
energy relative to the elements: -0.43 eV/atom



(2)
# KAl5

A relaxed structure of KAl5 (PBE, the Alexandria database).

CIF file:
```
data_KAl5
_chemical_formula_sum 'K1 Al5'
_symmetry_space_group_name_H-M 'P 4/m m m'
_symmetry_Int_Tables_number 123
_symmetry_space_group_name_Hall '-P 4 2'
_cell_length_a 2.955
_cell_length_b 2.955
_cell_length_c 13.629
_cell_angle_alpha 90.00
_cell_angle_beta 90.00
_cell_angle_gamma 90.00
loop_
_atom_site_label
_atom_site_type_symbol
_atom_site_fract_x
_atom_site_fract_y
_atom_site_fract_z
K1 K 0.000 0.000 0.000
Al1 Al 0.000 0.000 0.356
Al2 Al 0.500 0.500 0.211
Al3 Al 0.500 0.500 0.500
```

## Properties
E_tot: -3.1463 eV/atom
magnetization: 0.0000 μB per atom
DOS(E_F): 0.335 states/eV/atom
energy relative to the elements: 0.16 eV/atom



(3)
# YHoTeO6

A relaxed structure of YHoTeO6 (PBE, the Alexandria database).

CIF file:
```
data_YHoTeO6
_chemical_formula_sum 'Y2 Ho2 Te2 O12'
_symmetry_space_group_name_H-M 'P -3 1 c'
_symmetry_Int_Tables_number 163
_symmetry_space_group_name_Hall '-P 3 2c'
_cell_length_a 5.5371
_cell_length_b 5.5371
_cell_length_c 9.4936
_cell_angle_alpha 90.00
_cell_angle_beta 90.00
_cell_angle_gamma 120.00
loop_
_atom_site_label
_atom_site_type_symbol
_atom_site_fract_x
_atom_site_fract_y
_atom_site_fract_z
Y1 Y 0.0000 0.0000 0.0000
Ho1 Ho 0.3333 0.6667 0.2500
Te1 Te 0.3333 0.6667 0.7500
O1 O 0.0415 0.3713 0.6349
```

## Properties
E_tot: -7.3405 eV/atom
magnetization: 0.0000 μB per atom
DOS(E_F): 0.000 states/eV/atom
E_form (uncorrected): -2459 meV/atom



(4)
# Li4CeHo3Te8

A relaxed structure of Li4CeHo3Te8 (PBE, the Alexandria database).

CIF file:
```
data_Li4CeHo3Te8
_chemical_formula_sum 'Li12 Ce3 Ho9 Te24'
_symmetry_space_group_name_H-M 'R -3 m'
_symmetry_Int_Tables_number 166
_symmetry_space_group_name_Hall '-R 3 2"'
_cell_length_a 8.7284
_cell_length_b 8.7284
_cell_length_c 21.1895
_cell_angle_alpha 90.00
_cell_angle_beta 90.00
_cell_angle_gamma 120.00
loop_
_atom_site_label
_atom_site_type_symbol
_atom_site_fract_x
_atom_site_fract_y
_atom_site_fract_z
Li1 Li 0.0000 0.0000 0.0000
Li2 Li 0.0000 0.5000 0.0000
Ce1 Ce 0.0000 0.0000 0.5000
Ho1 Ho 0.0000 0.5000 0.5000
Te1 Te 0.0000 0.0000 0.2510
Te2 Te 0.0078 0.5039 0.7475
```

## Properties
E_tot: -4.5446 eV/atom
magnetization: 0.0608 μB per atom
DOS(E_F): 0.525 states/eV/atom
E_form (uncorrected): -1266 meV/atom



(5)
# Tl2ZnAsO4

A relaxed structure of Tl2ZnAsO4 (PBE, the Alexandria database).

CIF file:
```
data_Tl2ZnAsO4
_chemical_formula_sum 'Tl16 Zn8 As8 O32'
_symmetry_space_group_name_H-M 'F d d d'
_symmetry_Int_Tables_number 70
_cell_length_a 5.346
_cell_length_b 11.573
_cell_length_c 22.400
_cell_angle_alpha 90.00
_cell_angle_beta 90.00
_cell_angle_gamma 90.00
loop_
_symmetry_equiv_pos_as_xyz
'x,y,z'
'-x,-y,-z'
'-x+1/4,-y+1/4,z'
'x+1/4,y+1/4,-z'
'x,-y+1/4,-z+1/4'
'-x,y+1/4,z+1/4'
'-x+1/4,y,-z+1/4'
'x+1/4,-y,z+1/4'
'x,y+1/2,z+1/2'
'-x,-y+1/2,-z+1/2'
'-x+1/4,-y+3/4,z+1/2'
'x+1/4,y+3/4,-z+1/2'
'x,-y+3/4,-z+3/4'
'-x,y+3/4,z+3/4'
'-x+1/4,y+1/2,-z+3/4'
'x+1/4,-y+1/2,z+3/4'
'x+1/2,y,z+1/2'
'-x+1/2,-y,-z+1/2'
'-x+3/4,-y+1/4,z+1/2'
'x+3/4,y+1/4,-z+1/2'
'x+1/2,-y+1/4,-z+3/4'
'-x+1/2,y+1/4,z+3/4'
'-x+3/4,y,-z+3/4'
'x+3/4,-y,z+3/4'
'x+1/2,y+1/2,z'
'-x+1/2,-y+1/2,-z'
'-x+3/4,-y+3/4,z'
'x+3/4,y+3/4,-z'
'x+1/2,-y+3/4,-z+1/4'
'-x+1/2,y+3/4,z+1/4'
'-x+3/4,y+1/2,-z+1/4'
'x+3/4,-y+1/2,z+1/4'
loop_
_atom_site_label
_atom_site_type_symbol
_atom_site_fract_x
_atom_site_fract_y
_atom_site_fract_z
Tl1 Tl 0.125 0.125 0.272
Zn1 Zn 0.125 0.125 0.125
As1 As 0.125 0.125 0.625
O1 O 0.086 0.294 0.833
```

## Properties
E_tot: -4.7199 eV/atom
magnetization: 0.0000 μB per atom
DOS(E_F): 0.124 states/eV/atom
E_form (uncorrected): -909 meV/atom



(6)
# KRu2

A relaxed structure of KRu2 (PBE, the Alexandria database).

CIF file:
```
data_KRu2
_chemical_formula_sum 'K2 Ru4'
_symmetry_space_group_name_H-M 'P 63/m m c'
_symmetry_Int_Tables_number 194
_symmetry_space_group_name_Hall '-P 6c 2c'
_cell_length_a 3.9966
_cell_length_b 3.9966
_cell_length_c 11.3140
_cell_angle_alpha 90.00
_cell_angle_beta 90.00
_cell_angle_gamma 120.00
loop_
_atom_site_label
_atom_site_type_symbol
_atom_site_fract_x
_atom_site_fract_y
_atom_site_fract_z
K1 K 0.0000 0.0000 0.2500
Ru1 Ru 0.3333 0.6667 0.0192
```

## Properties
E_tot: -5.5723 eV/atom
magnetization: 0.0000 μB per atom
DOS(E_F): 1.330 states/eV/atom
energy relative to the elements: 0.98 eV/atom



(7)
# ZnNClF2

A relaxed structure of ZnNClF2 (PBE, the Alexandria database).

CIF file:
```
data_ZnNClF2
_chemical_formula_sum 'Zn1 N1 Cl1 F2'
_symmetry_space_group_name_H-M 'P 4/m m m'
_symmetry_Int_Tables_number 123
_symmetry_space_group_name_Hall '-P 4 2'
_cell_length_a 4.834
_cell_length_b 4.834
_cell_length_c 3.308
_cell_angle_alpha 90.00
_cell_angle_beta 90.00
_cell_angle_gamma 90.00
loop_
_atom_site_label
_atom_site_type_symbol
_atom_site_fract_x
_atom_site_fract_y
_atom_site_fract_z
Zn1 Zn 0.000 0.000 0.000
N1 N 0.500 0.500 0.000
Cl1 Cl 0.500 0.500 0.500
F1 F 0.000 0.500 0.500
```

## Properties
E_tot: -2.5566 eV/atom
magnetization: 0.0000 μB per atom
DOS(E_F): 0.634 states/eV/atom
E_form (uncorrected): 481 meV/atom



(8)
# RbLiPdPb2

A relaxed structure of RbLiPdPb2 (PBE, the Alexandria database).

CIF file:
```
data_RbLiPdPb2
_chemical_formula_sum 'Rb1 Li1 Pd1 Pb2'
_symmetry_space_group_name_H-M 'P 4/m m m'
_symmetry_Int_Tables_number 123
_symmetry_space_group_name_Hall '-P 4 2'
_cell_length_a 5.415
_cell_length_b 5.415
_cell_length_c 5.354
_cell_angle_alpha 90.00
_cell_angle_beta 90.00
_cell_angle_gamma 90.00
loop_
_atom_site_label
_atom_site_type_symbol
_atom_site_fract_x
_atom_site_fract_y
_atom_site_fract_z
Rb1 Rb 0.000 0.000 0.000
Li1 Li 0.500 0.500 0.000
Pd1 Pd 0.500 0.500 0.500
Pb1 Pb 0.000 0.500 0.500
```

## Properties
E_tot: -3.1963 eV/atom
magnetization: 0.0000 μB per atom
DOS(E_F): 0.815 states/eV/atom
energy relative to the elements: -0.10 eV/atom



> Among the records above, which one has the lowest DOS(E_F)?

YHoTeO6